Record 1
{
  "formula": "PmPaCoOs",
  "functional": "PBE",
  "state": "relaxed",
  "dos_at_fermi_per_ev_cell": 4.53,
  "e_tot_ev_per_atom": -8.1904,
  "lattice": [[-3.222, 0.913, 3.505], [-0.995, -3.389, 3.320], [1.494, 0.577, 4.576]],
  "species": ["Co", "Pa", "Os", "Pm"],
  "frac_coords": [[0.750, 0.750, 0.750], [0.500, 0.500, 0.500], [0.250, 0.250, 0.250], [0.000, 0.000, 0.000]]
}

Record 2
{
  "formula": "Pa2CoOsPt",
  "functional": "PBE",
  "state": "relaxed",
  "dos_at_fermi_per_ev_cell": 9.57,
  "e_tot_ev_per_atom": -9.2009,
  "lattice": [[4.002, 0.000, 0.000], [0.000, 7.360, 0.482], [0.000, -2.498, 6.303]],
  "species": ["Pa", "Pa", "Pa", "Pa", "Co", "Co", "Os", "Os", "Pt", "Pt"],
  "frac_coords": [[0.750, 0.861, 0.632], [0.750, 0.712, 0.050], [0.250, 0.139, 0.368], [0.250, 0.288, 0.950], [0.250, 0.897, 0.924], [0.750, 0.103, 0.076], [0.250, 0.733, 0.333], [0.750, 0.267, 0.667], [0.250, 0.550, 0.674], [0.750, 0.450, 0.326]]
}

Record 3
{
  "formula": "PuPaCoOs",
  "functional": "PBE",
  "state": "relaxed",
  "dos_at_fermi_per_ev_cell": 7.38,
  "e_tot_ev_per_atom": -10.6264,
  "lattice": [[4.778, 0.000, 0.000], [2.389, 4.138, 0.000], [2.389, 1.379, 3.901]],
  "species": ["Co", "Pa", "Os", "Pu"],
  "frac_coords": [[0.750, 0.750, 0.750], [0.000, 0.000, 0.000], [0.250, 0.250, 0.250], [0.500, 0.500, 0.500]]
}

Record 4
{
  "formula": "Pa2Co3Si4Os",
  "functional": "PBE",
  "state": "relaxed",
  "dos_at_fermi_per_ev_cell": 9.39,
  "e_form_raw_mev_per_atom": -769,
  "lattice": [[4.003, 0.000, 0.000], [0.000, 4.003, 0.000], [0.000, 0.000, 9.454]],
  "species": ["Pa", "Pa", "Co", "Co", "Co", "Si", "Si", "Si", "Si", "Os"],
  "frac_coords": [[0.500, 0.000, 0.248], [0.000, 0.500, 0.752], [0.000, 0.000, 0.500], [0.500, 0.000, 0.876], [0.000, 0.500, 0.124], [0.500, 0.500, 0.000], [0.000, 0.000, 0.000], [0.500, 0.000, 0.636], [0.000, 0.500, 0.364], [0.500, 0.500, 0.500]]
}

Record 5
{
  "formula": "PaCo2Si2Os",
  "functional": "PBE",
  "state": "relaxed",
  "dos_at_fermi_per_ev_cell": 7.50,
  "e_form_raw_mev_per_atom": 239,
  "lattice": [[-2.117, 3.450, -2.093], [-4.028, -1.948, 0.863], [-0.270, 2.525, 4.436]],
  "species": ["Pa", "Co", "Co", "Si", "Si", "Os"],
  "frac_coords": [[0.000, 0.000, 0.500], [0.500, 0.500, 0.749], [0.500, 0.500, 0.251], [0.500, 0.000, 0.000], [0.000, 0.500, 0.000], [0.000, 0.000, 0.000]]
}

Record 6
{
  "formula": "PaCoSi2Os2",
  "functional": "PBE",
  "state": "relaxed",
  "dos_at_fermi_per_ev_cell": 5.87,
  "e_form_raw_mev_per_atom": -66,
  "lattice": [[4.372, 0.000, 0.000], [0.000, 4.372, 0.000], [0.000, 0.000, 5.151]],
  "species": ["Pa", "Co", "Si", "Si", "Os", "Os"],
  "frac_coords": [[0.000, 0.000, 0.500], [0.000, 0.000, 0.000], [0.500, 0.000, 0.000], [0.000, 0.500, 0.000], [0.500, 0.500, 0.737], [0.500, 0.500, 0.263]]
}

Record 7
{
  "formula": "PaCoSi2Os",
  "functional": "PBE",
  "state": "relaxed",
  "dos_at_fermi_per_ev_cell": 3.84,
  "e_form_raw_mev_per_atom": -716,
  "lattice": [[-3.124, -0.084, 2.536], [2.536, -0.010, 3.125], [0.222, 4.926, -2.757]],
  "species": ["Pa", "Co", "Si", "Si", "Os"],
  "frac_coords": [[0.000, 0.000, 0.000], [0.750, 0.250, 0.500], [0.624, 0.624, 0.248], [0.376, 0.376, 0.752], [0.250, 0.750, 0.500]]
}

Record 8
{
  "formula": "SmPaCoOs",
  "functional": "PBE",
  "state": "relaxed",
  "dos_at_fermi_per_ev_cell": 4.57,
  "e_tot_ev_per_atom": -8.2082,
  "lattice": [[4.837, 0.000, 0.000], [2.419, 4.189, 0.000], [2.419, 1.396, 3.950]],
  "species": ["Co", "Pa", "Os", "Sm"],
  "frac_coords": [[0.750, 0.750, 0.750], [0.500, 0.500, 0.500], [0.250, 0.250, 0.250], [0.000, 0.000, 0.000]]
}